VASP calculation (PBE with a Hubbard U) on crystalline Sm2GaNiO6 at its relaxed geometry.

Lattice parameters (Å, degrees): 5.3738 5.5811 7.7883 90.00 89.33 90.00
With the nearest neighbours (Å) after each atom.
Element x y z (fractional)
Sm: 0.0146 0.9398 0.2509  6 O 2.31-2.55
Sm: 0.5146 0.5602 0.7509  6 O 2.31-2.55
Sm: 0.9854 0.0602 0.7491  6 O 2.31-2.55
Sm: 0.4854 0.4398 0.2491  6 O 2.31-2.55
Ga: 0.5000 0.0000 0.5000  6 O 1.98-2.04
Ga: 0.0000 0.5000 0.0000  6 O 1.98-2.04
Ni: 0.5000 0.0000 0.0000  6 O 1.98-2.06
Ni: 0.0000 0.5000 0.5000  6 O 1.98-2.06
O: 0.3001 0.7038 0.0493  1 Ni 2.01, 1 Ga 2.01
O: 0.8001 0.7962 0.5493  1 Ni 2.01, 1 Ga 2.01
O: 0.6999 0.2962 0.9507  1 Ni 2.01, 1 Ga 2.01
O: 0.1999 0.2038 0.4507  1 Ni 2.01, 1 Ga 2.01
O: 0.2958 0.7015 0.4487  1 Ni 1.98, 1 Ga 2.04
O: 0.7958 0.7985 0.9487  1 Ni 1.98, 1 Ga 2.04
O: 0.7042 0.2985 0.5513  1 Ni 1.98, 1 Ga 2.04
O: 0.2042 0.2015 0.0513  1 Ni 1.98, 1 Ga 2.04
O: 0.9052 0.5277 0.2453  1 Ga 1.98, 1 Ni 2.06
O: 0.4052 0.9723 0.7453  1 Ga 1.98, 1 Ni 2.06
O: 0.0948 0.4723 0.7547  1 Ga 1.98, 1 Ni 2.06
O: 0.5948 0.0277 0.2547  1 Ga 1.98, 1 Ni 2.06

crystal system: monoclinic
V: 11.68 Å³ per atom
theoretical density: 7.467 Mg/m³
energy: -136.4 eV/cell
symmetry: P2_1/c